No. 1
{
  "formula": "K2RhBr",
  "functional": "PBE",
  "state": "relaxed",
  "formation_energy_uncorrected_ev_per_atom": 0.029,
  "volume_a3_per_fu": 146.19,
  "rho_g_cm3": 3.0,
  "lattice_angstrom": [[-2.396, -3.570, 1.680], [-0.849, -1.453, -4.298], [5.727, -3.776, 0.145]],
  "species": ["Br", "K", "K", "Rh"],
  "frac_coords": [[0.500, 0.500, 0.875], [0.000, 0.000, 0.874], [0.500, 0.500, 0.376], [0.000, 0.000, 0.375]]
}



No. 2
{
  "formula": "Ba2MgGa3Ge4",
  "functional": "PBE",
  "state": "relaxed",
  "volume_a3_per_fu": 240.79,
  "formation_energy_ev_per_atom": -0.389,
  "rho_g_cm3": 5.5,
  "lattice_angstrom": [[-1.486, 1.751, 4.230], [2.581, -3.352, 2.294], [8.166, 6.430, 0.207]],
  "species": ["Ba", "Ba", "Mg", "Ga", "Ga", "Ga", "Ge", "Ge", "Ge", "Ge"],
  "frac_coords": [[0.500, 0.000, 0.241], [0.000, 0.500, 0.759], [0.500, 0.500, 0.500], [0.000, 0.000, 0.500], [0.500, 0.000, 0.883], [0.000, 0.500, 0.117], [0.500, 0.500, 0.000], [0.000, 0.000, 0.000], [0.500, 0.000, 0.632], [0.000, 0.500, 0.368]]
}



No. 3
{
  "formula": "Na3LiHf3Te8",
  "functional": "PBE",
  "state": "relaxed",
  "formation_energy_uncorrected_ev_per_atom": -0.829,
  "volume_a3_per_fu": 456.18,
  "rho_g_cm3": 5.9,
  "lattice_angstrom": [[8.319, 0.001, -0.001], [-4.159, 7.196, -0.025], [-0.001, -4.766, 7.638]],
  "species": ["Na", "Na", "Na", "Li", "Hf", "Hf", "Hf", "Te", "Te", "Te", "Te", "Te", "Te", "Te", "Te"],
  "frac_coords": [[0.000, 0.000, 0.000], [0.000, 0.500, 0.000], [0.500, 0.500, 0.000], [0.000, 0.000, 0.500], [0.500, 0.000, 0.500], [0.500, 0.500, 0.500], [0.000, 0.500, 0.500], [0.259, 0.518, 0.278], [0.741, 0.482, 0.722], [0.757, 0.513, 0.284], [0.243, 0.487, 0.716], [0.757, 0.027, 0.284], [0.243, 0.973, 0.716], [0.271, 0.027, 0.284], [0.729, 0.973, 0.716]]
}